Record 1
The following is a GGA-PBE calculation of a relaxed Mg10Bi4Pt crystal, from Alexandria via LeMat-Bulk.

Energy of formation = -0.31 eV per atom
Space group = I4/m

a b c (Å): 6.9375 8.4688 8.4688
angles (deg): 80.34 65.82 65.82
Sites, in units of the cell vectors:
Mg (0.2500, 0.5000, 0.5000)
Mg (0.6916, 0.2662, 0.9101)
Mg (0.0423, 0.0899, 0.2662)
Mg (0.3983, 0.9101, 0.7338)
Mg (0.8679, 0.7338, 0.0899)
Mg (0.3084, 0.7338, 0.0899)
Mg (0.7500, 0.5000, 0.5000)
Mg (0.1321, 0.2662, 0.9101)
Mg (0.6017, 0.0899, 0.2662)
Mg (0.9577, 0.9101, 0.7338)
Bi (0.4007, 0.7990, 0.3995)
Bi (0.8002, 0.6005, 0.7990)
Bi (0.1998, 0.3995, 0.2010)
Bi (0.5993, 0.2010, 0.6005)
Pt (0.0000, 0.0000, 0.0000)


Record 2
The following is a GGA-PBE calculation of a relaxed ZrTi2CoH crystal, from Alexandria via LeMat-Bulk.

Electronic total energy = -7.0711 eV/atom
Space group = P4/mmm

a b c (Å): 3.8558 3.8558 4.5981
angles (deg): 90.00 90.00 90.00
Sites, in units of the cell vectors:
H (0.0000, 0.0000, 0.0000)
Co (0.5000, 0.5000, 0.5000)
Zr (0.0000, 0.0000, 0.5000)
Ti (0.0000, 0.5000, 0.0000)
Ti (0.5000, 0.0000, 0.0000)


Record 3
The following is a GGA-PBE calculation of a relaxed DyH8Ru2 crystal, from Alexandria via LeMat-Bulk.

Electronic total energy = -4.7177 eV/atom
Space group = C2/m

a b c (Å): 3.6230 4.9421 4.9421
angles (deg): 112.14 93.03 93.03
Sites, in units of the cell vectors:
Dy (0.5000, 0.0000, 0.0000)
H (0.9625, 0.9515, 0.6749)
H (0.9625, 0.6749, 0.9515)
H (0.2441, 0.5860, 0.5860)
H (0.5000, 0.7098, 0.2902)
H (0.5000, 0.2902, 0.7098)
H (0.7559, 0.4140, 0.4140)
H (0.0375, 0.3251, 0.0485)
H (0.0375, 0.0485, 0.3251)
Ru (0.0000, 0.3172, 0.6828)
Ru (0.0000, 0.6828, 0.3172)


Record 4
The following is a GGA-PBE calculation of a relaxed Zn2PbBr crystal, from Alexandria via LeMat-Bulk.

Formation energy (no corrections) = 0.100 eV per atom
Space group = I4/mmm
Energy relative to the lowest polymorph listed for this composition = 0.72 eV/f.u.

a b c (Å): 6.2584 6.2584 6.2584
angles (deg): 139.08 139.08 59.26
Sites, in units of the cell vectors:
Br (0.2500, 0.7500, 0.5000)
Pb (0.7500, 0.2500, 0.5000)
Zn (0.0000, 0.0000, 0.0000)
Zn (0.5000, 0.5000, 0.0000)


Record 5
The following is a GGA-PBE calculation of a relaxed PaBiN2 crystal, from Alexandria via LeMat-Bulk.

Formation energy (no corrections) = -0.966 eV per atom
Space group = R-3m

a b c (Å): 3.6272 3.6272 7.1947
angles (deg): 75.40 75.40 60.00
Sites, in units of the cell vectors:
Pa (0.5000, 0.5000, 0.5000)
Bi (0.0000, 0.0000, 0.0000)
N (0.1203, 0.1203, 0.6392)
N (0.8797, 0.8797, 0.3608)


Record 6
The following is a GGA-PBE calculation of a relaxed TiAlSbI2 crystal, from Alexandria via LeMat-Bulk.

Formation energy (no corrections) = 0.641 eV per atom
Space group = P4/mmm
Energy relative to the lowest polymorph listed for this composition = 2.52 eV/f.u.

a b c (Å): 5.3945 5.3945 5.4643
angles (deg): 90.00 90.00 90.00
Last column: magnetic moment on the atom in μB.
Sites, in units of the cell vectors:
I (0.0000, 0.5000, 0.0000)  0.01
I (0.5000, 0.0000, 0.0000)  0.01
Sb (0.0000, 0.0000, 0.5000)  0.08
Al (0.0000, 0.0000, 0.0000)  0.00
Ti (0.5000, 0.5000, 0.5000)  -0.20


Record 7
The following is a GGA-PBE calculation of a relaxed CdCu2Au crystal, from Alexandria via LeMat-Bulk.

Energy of formation = 0.00 eV per atom
Space group = Pm

a b c (Å): 4.1926 2.9335 5.3756
angles (deg): 72.85 90.00 90.00
Sites, in units of the cell vectors:
Au (0.0000, 0.4543, 0.4571)
Cu (0.0000, 0.1868, 0.9980)
Cu (0.5000, 0.0594, 0.2570)
Cd (0.5000, 0.7995, 0.7879)


Record 8
The following is a GGA-PBE calculation of a relaxed TaPt2 crystal, from Alexandria via LeMat-Bulk.

Energy of formation = -0.35 eV per atom
Space group = Cmcm

a b c (Å): 7.5596 7.5596 4.7694
angles (deg): 90.00 90.00 158.64
Sites, in units of the cell vectors:
Ta (0.2096, 0.7904, 0.7500)
Ta (0.7904, 0.2096, 0.2500)
Pt (0.8779, 0.1221, 0.7500)
Pt (0.1221, 0.8779, 0.2500)
Pt (0.4488, 0.5512, 0.2500)
Pt (0.5512, 0.4488, 0.7500)


Record 9
The following is a GGA-PBE calculation of a relaxed K4HgAs crystal, from Alexandria via LeMat-Bulk.

Energy of formation = 0.18 eV per atom
Space group = F-43m

a b c (Å): 6.9296 6.9296 6.9296
angles (deg): 60.00 60.00 60.00
Sites, in units of the cell vectors:
K (0.8703, 0.3766, 0.3766)
K (0.3766, 0.3766, 0.8703)
K (0.3766, 0.8703, 0.3766)
K (0.3766, 0.3766, 0.3766)
Hg (0.0000, 0.0000, 0.0000)
As (0.7500, 0.7500, 0.7500)


Record 10
The following is a GGA-PBE calculation of a relaxed NbCd2CuMo crystal, from Alexandria via LeMat-Bulk.

Energy of formation = 1.18 eV per atom
Space group = P4/mmm

a b c (Å): 4.5857 4.7781 4.5857
angles (deg): 90.00 90.00 90.00
Last column: magnetic moment on the atom in μB.
Sites, in units of the cell vectors:
Mo (0.5000, 0.5000, 0.5000)  1.58
Nb (0.0000, 0.5000, 0.0000)  -0.55
Cu (0.0000, 0.0000, 0.0000)  -0.04
Cd (0.0000, 0.0000, 0.5000)  -0.01
Cd (0.5000, 0.0000, 0.0000)  -0.01


Record 11
The following is a GGA-PBE calculation of a relaxed CoReAu3 crystal, from Alexandria via LeMat-Bulk.

Energy of formation = 1.57 eV per atom
Space group = Pm-3m

a b c (Å): 4.7043 4.7043 4.7043
angles (deg): 90.00 90.00 90.00
Last column: magnetic moment on the atom in μB.
Sites, in units of the cell vectors:
Re (0.5000, 0.5000, 0.5000)  3.21
Au (0.0000, 0.5000, 0.0000)  0.03
Au (0.0000, 0.0000, 0.5000)  0.09
Au (0.5000, 0.0000, 0.0000)  0.03
Co (0.0000, 0.0000, 0.0000)  1.74


Record 12
The following is a GGA-PBE calculation of a relaxed SrMg2Zn4 crystal, from Alexandria via LeMat-Bulk.

Energy of formation = -0.18 eV per atom
Space group = I4/mmm
Energy relative to the lowest polymorph listed for this composition = 0.00 eV/f.u.

a b c (Å): 5.7717 5.7612 5.7612
angles (deg): 75.47 59.94 59.94
Sites, in units of the cell vectors:
Sr (0.0000, 0.0000, 0.0000)
Mg (0.7500, 0.5000, 0.5000)
Mg (0.2500, 0.5000, 0.5000)
Zn (0.6831, 0.0000, 0.6338)
Zn (0.3169, 0.0000, 0.3662)
Zn (0.3169, 0.3662, 0.0000)
Zn (0.6831, 0.6338, 0.0000)


| no. | spin magnetization (μB per atom) | DOS at the Fermi energy (states/eV/atom) |
| --- | --- | --- |
| 1 | 0.0000 | 0.13 |
| 2 | 0.0001 | 1.35 |
| 3 | 0.0000 | 0.16 |
| 4 | 0.0000 | 0.43 |
| 5 | 0.0000 | 0.09 |
| 6 | 0.0117 | 1.49 |
| 7 | 0.0000 | 0.31 |
| 8 | 0.0000 | 1.11 |
| 9 | 0.0000 | 0.34 |
| 10 | 0.2019 | 0.88 |
| 11 | 1.1233 | 1.29 |
| 12 | 0.0000 | 0.33 |